LaCeCuOs: optimized geometry, GGA-PBE.

abc: 5.009 5.009 5.009
angles: 60.00 60.00 60.00
Positions (direct):
La 0.000 0.000 0.000
Ce 0.500 0.500 0.500
Cu 0.250 0.250 0.250
Os 0.750 0.750 0.750

DFT formation energy ... -7 kJ/mol of atoms
SG ... F-43m, No. 216
Calculated density ... 9.96 g/cm3
Fermi-level density of states ... 6.401 states/eV/cell

LaReW2: optimized geometry, GGA-PBE.

abc: 2.856 2.856 9.855
angles: 90.00 90.00 112.16
Positions (direct):
La 0.000 0.000 0.000
Re 0.000 0.000 0.500
W 0.500 0.500 0.285
W 0.500 0.500 0.715

DFT formation energy ... 51 kJ/mol of atoms
SG ... Cmmm, No. 65
Calculated density ... 15.45 g/cm3
Fermi-level density of states ... 2.480 states/eV/cell
Energy relative to the lowest polymorph listed for this composition ... 93 meV/atom

RbAs2PbBr: optimized geometry, GGA-PBE.

abc: 5.514 5.514 6.312
angles: 90.00 90.00 90.00
Positions (direct):
Rb 0.000 0.000 0.000
As 0.000 0.500 0.500
As 0.500 0.000 0.500
Pb 0.500 0.500 0.500
Br 0.500 0.500 0.000

SG ... P4/mmm, No. 123
Calculated density ... 4.52 g/cm3
Fermi-level density of states ... 4.987 states/eV/cell
Energy relative to the lowest polymorph listed for this composition ... 0 meV/atom

Fermi-level density of states of number 3 (RbAs2PbBr)?
4.987 states/eV/cell